P | An optimized crystal structure of MgB4Os. Source: OQMD via LeMat-Bulk, functional PBE-GGA.

Computed properties:
- Spin magnetization: 0.001 μB per atom

abc: 5.867 11.219 3.471
angles: 90.00 90.00 90.00
Positions (direct):
B 0.705 0.686 0.500
B 0.518 0.804 0.500
B 0.133 0.972 0.500
B 0.615 0.949 0.500
B 0.385 0.051 0.500
B 0.115 0.551 0.500
B 0.295 0.314 0.500
B 0.482 0.196 0.500
B 0.795 0.186 0.500
B 0.205 0.814 0.500
B 0.982 0.304 0.500
B 0.633 0.528 0.500
B 0.367 0.472 0.500
B 0.867 0.028 0.500
B 0.885 0.449 0.500
B 0.018 0.696 0.500
Os 0.858 0.591 0.000
Os 0.642 0.091 0.000
Os 0.142 0.409 0.000
Os 0.358 0.909 0.000
Mg 0.874 0.851 0.000
Mg 0.126 0.149 0.000
Mg 0.626 0.351 0.000
Mg 0.374 0.649 0.000

***

Q | An optimized crystal structure of MgB4Os. Source: OQMD via LeMat-Bulk, functional PBE-GGA.

Computed properties:
- Spin magnetization: 0.000 μB per atom

abc: 4.496 4.496 4.496
angles: 140.81 109.51 83.74
Positions (direct):
Mg 0.000 0.000 0.000
B 0.594 0.257 0.337
B 0.920 0.257 0.663
B 0.080 0.743 0.337
B 0.406 0.743 0.663
Os 0.500 0.500 0.000

***

Which structure loses on stability? Q does.